Entry 1:
DFT (GGA-PBE) results for crystalline BaSrSb at its relaxed geometry.

a b c (Å): 5.593 5.593 5.593
angles (deg): 60.00 60.00 60.00
Positions (direct):
Sb: 0.500 0.500 0.500
Ba: 0.000 0.000 0.000
Sr: 0.750 0.750 0.750

Properties
Crystal system = cubic
Formation energy from raw total energies = -0.3334 eV/atom
Symmetry = No. 216
N(E_F) = 0.847 states/eV/atom
Spin magnetization = 0.000 μB per atom

Entry 2:
DFT (GGA-PBE) results for crystalline SrYAl3 at its relaxed geometry.

a b c (Å): 5.511 5.511 5.511
angles (deg): 90.00 90.00 90.00
Each line ends with the local moment (μB).
Positions (direct):
Sr: 0.500 0.500 0.500  0.00
Y: 0.000 0.000 0.000  0.11
Al: 0.500 0.000 0.000  0.02
Al: 0.000 0.000 0.500  0.01
Al: 0.000 0.500 0.000  0.02

Properties
Crystal system = cubic
Energy relative to the elements = 497 meV/atom
Symmetry = No. 221
N(E_F) = 1.310 states/eV/atom
Spin magnetization = 0.067 μB per atom

Entry 3:
DFT (GGA-PBE) results for crystalline YMnAl2B at its relaxed geometry.

a b c (Å): 5.541 4.874 5.541
angles (deg): 90.00 90.00 90.00
Each line ends with the local moment (μB).
Positions (direct):
Mn: 0.000 0.500 0.000  3.33
Al: 0.500 0.000 0.000  -0.06
Y: 0.000 0.000 0.000  -0.44
B: 0.500 0.500 0.500  0.01
Al: 0.000 0.000 0.500  -0.03

Properties
Crystal system = tetragonal
Energy relative to the elements = 2175 meV/atom
Symmetry = No. 123
N(E_F) = 0.740 states/eV/atom
Spin magnetization = 0.523 μB per atom

| no. | calculated total energy (eV per cell) |
| --- | --- |
| 1 | -8.73 |
| 2 | -16.89 |
| 3 | -18.92 |